No. 1
# NaTa2ReCl

An optimized crystal structure of NaTa2ReCl (PBE, Alexandria).

abc: 4.916 4.916 4.176
angles: 90.00 90.00 90.00
Space group P4/mmm (No. 123)
Inequivalent atoms, fractional coordinates:
Na 0.000 0.000 0.000 [1 per cell]
Ta 0.000 0.500 0.000 [2 per cell]
Re 0.500 0.500 0.500 [1 per cell]
Cl 0.000 0.000 0.500 [1 per cell]

Density in Mg/m³: 10.0
DOS(E_F) in states/eV/f.u.: 5.50
Energy relative to the elements, uncorrected in eV/atom: 2.49
Magnetic moment in μB per formula unit: 0.80

***

No. 2
# NaTl2ReCl

An optimized crystal structure of NaTl2ReCl (PBE, Alexandria).

abc: 5.489 5.489 4.679
angles: 90.00 90.00 90.00
Space group P4/mmm (No. 123)
Inequivalent atoms, fractional coordinates:
Na 0.000 0.000 0.000 [1 per cell]
Tl 0.000 0.500 0.500 [2 per cell]
Re 0.500 0.500 0.500 [1 per cell]
Cl 0.500 0.500 0.000 [1 per cell]

Density in Mg/m³: 7.7
DOS(E_F) in states/eV/f.u.: 3.18
Energy relative to the elements, uncorrected in eV/atom: 0.39
Magnetic moment in μB per formula unit: 0.00

***

No. 3
# Na2TlReCl8

An optimized crystal structure of Na2TlReCl8 (PBE, Alexandria).

abc: 6.165 8.503 6.503
angles: 90.00 93.51 90.00
Space group P2/m (No. 10)
Inequivalent atoms, fractional coordinates:
Na 0.000 0.243 0.000 [2 per cell]
Tl 0.500 0.500 0.500 [1 per cell]
Re 0.500 0.000 0.500 [1 per cell]
Cl 0.198 0.500 0.175 [2 per cell]
Cl 0.259 0.000 0.198 [2 per cell]
Cl 0.291 0.199 0.645 [4 per cell]

Density in Mg/m³: 3.5
DOS(E_F) in states/eV/f.u.: 2.45
Energy relative to the elements, uncorrected in eV/atom: -1.02
Magnetic moment in μB per formula unit: 2.37

***

No. 4
# NaRhCl2

An optimized crystal structure of NaRhCl2 (PBE, Alexandria).

abc: 3.5232 3.5232 24.2492
angles: 90.00 90.00 120.00
Space group R-3m (No. 166, hexagonal axes)
Inequivalent atoms, fractional coordinates:
Na 0.0000 0.0000 0.0000 [3 per cell]
Rh 0.0000 0.0000 0.5000 [3 per cell]
Cl 0.0000 0.0000 0.4055 [6 per cell]

Density in Mg/m³: 3.8
Distance to the lowest polymorph of the same formula in meV per atom: 22
DOS(E_F) in states/eV/f.u.: 6.00
Energy relative to the elements, uncorrected in eV/atom: -0.52
Magnetic moment in μB per formula unit: 1.02

***

No. 5
# NaRhCl4

An optimized crystal structure of NaRhCl4 (PBE, Alexandria).

abc: 11.852 3.617 7.020
angles: 90.00 101.78 90.00
Space group C2/m (No. 12)
Inequivalent atoms, fractional coordinates:
Na 0.000 0.000 0.000 [2 per cell]
Rh 0.000 0.500 0.500 [2 per cell]
Cl 0.112 0.000 0.415 [4 per cell]
Cl 0.116 0.500 0.818 [4 per cell]

Density in Mg/m³: 3.0
Distance to the lowest polymorph of the same formula in meV per atom: 14
Energy relative to the elements, uncorrected in eV/atom: -0.97
Magnetic moment in μB per formula unit: 0.00

***

No. 6
# Na2RhCl

An optimized crystal structure of Na2RhCl (PBE, Alexandria).

abc: 7.879 7.879 5.154
angles: 90.00 90.00 90.00
Space group I-42d (No. 122)
Inequivalent atoms, fractional coordinates:
Na 0.213 0.250 0.125 [8 per cell]
Rh 0.000 0.000 0.500 [4 per cell]
Cl 0.000 0.000 0.000 [4 per cell]

Density in Mg/m³: 3.8
Distance to the lowest polymorph of the same formula in meV per atom: 0
DOS(E_F) in states/eV/f.u.: 0.25
Energy relative to the elements, uncorrected in eV/atom: -0.09
Magnetic moment in μB per formula unit: 0.00

***

No. 7
# Na2RhCl

An optimized crystal structure of Na2RhCl (PBE, Alexandria).

abc: 7.011 7.011 7.011
angles: 90.00 90.00 90.00
Space group Fm-3m (No. 225)
Inequivalent atoms, fractional coordinates:
Na 0.250 0.250 0.250 [8 per cell]
Rh 0.000 0.000 0.000 [4 per cell]
Cl 0.000 0.000 0.500 [4 per cell]

Density in Mg/m³: 3.6
Distance to the lowest polymorph of the same formula in meV per atom: 154
DOS(E_F) in states/eV/f.u.: 5.38
Energy relative to the elements, uncorrected in eV/atom: 0.07
Magnetic moment in μB per formula unit: 1.15

***

No. 8
# NaRhCl6

An optimized crystal structure of NaRhCl6 (PBE, Alexandria).

abc: 10.266 10.266 10.266
angles: 90.00 90.00 90.00
Space group Fm-3m (No. 225)
Inequivalent atoms, fractional coordinates:
Na 0.000 0.000 0.000 [4 per cell]
Rh 0.000 0.000 0.500 [4 per cell]
Cl 0.000 0.000 0.274 [24 per cell]

Density in Mg/m³: 2.1
DOS(E_F) in states/eV/f.u.: 11.92
Energy relative to the elements, uncorrected in eV/atom: -0.55
Magnetic moment in μB per formula unit: 2.10